19
Lattice="9.072 -1.145 -1.372 -2.508 8.793 -1.372 -2.508 -2.921 8.406" Properties=species:S:1:pos:R:3 comment="Nd12TlCd6 | Alexandria | GGA-PBE | relaxed" final_energy_ev_per_atom=-3.574 dos_ef_per_ev_cell=25.66 pbc="T T T"
Nd 2.764 1.541 5.086
Nd 4.255 3.449 2.425
Nd 5.379 5.502 -0.161
Nd -0.566 5.984 -0.361
Nd -0.199 1.278 3.237
Nd -1.944 5.144 5.385
Nd 1.104 4.475 3.827
Nd 6.001 -0.418 0.277
Nd -1.323 -0.776 5.823
Nd 2.952 0.252 1.835
Nd 1.293 3.185 0.576
Nd 4.623 -1.258 6.023
Cd 4.211 2.304 -0.830
Cd 5.909 0.750 3.543
Cd -1.852 3.976 2.119
Cd 1.639 -1.623 4.291
Cd 2.418 6.349 1.371
Cd -0.154 2.422 6.492
Tl 0.000 0.000 0.000